A plane-wave DFT calculation with PBE was carried out for a geometry-optimized HfV5Ga6 structure.

Total magnetic moment   0.0 μB/f.u.
DFT formation energy   -0.2064 eV per atom
Symmetry   No. 12
D(E_F)   7.76 states/eV/f.u.
Uncorrected energy   -6.35 eV/atom

```
HfV5Ga6
1.0
1.921 -5.709 0.000
1.921 5.709 0.000
-0.010 0.000 8.079
Hf V Ga
1 5 6
Direct
0.000 0.000 0.000 Hf
0.000 0.000 0.500 V
0.321 0.679 0.000 V
0.331 0.669 0.500 V
0.669 0.331 0.500 V
0.679 0.321 0.000 V
0.169 0.831 0.258 Ga
0.169 0.831 0.742 Ga
0.500 0.500 0.259 Ga
0.500 0.500 0.741 Ga
0.831 0.169 0.258 Ga
0.831 0.169 0.742 Ga
```



A plane-wave DFT calculation with PBE was carried out for a geometry-optimized HfV2Ga structure.

Total magnetic moment   0.0 μB/f.u.
DFT formation energy   -0.0756 eV per atom
Symmetry   No. 123
D(E_F)   3.59 states/eV/f.u.
Uncorrected energy   -7.88 eV/atom

```
HfV2Ga
1.0
3.303 0.000 0.000
0.000 3.303 0.000
0.000 0.000 5.881
Hf V Ga
1 2 1
Direct
0.000 0.000 0.000 Hf
0.500 0.500 0.299 V
0.500 0.500 0.701 V
0.000 0.000 0.500 Ga
```



A plane-wave DFT calculation with PBE was carried out for a geometry-optimized HfVGa2 structure.

Total magnetic moment   0.0 μB/f.u.
DFT formation energy   -0.2676 eV per atom
Symmetry   No. 123
D(E_F)   2.31 states/eV/f.u.
Uncorrected energy   -6.55 eV/atom

```
HfVGa2
1.0
3.987 0.000 0.000
0.000 3.987 0.000
0.000 0.000 4.091
Hf V Ga
1 1 2
Direct
0.000 0.000 0.000 Hf
0.500 0.500 0.000 V
0.000 0.500 0.500 Ga
0.500 0.000 0.500 Ga
```



A plane-wave DFT calculation with PBE was carried out for a geometry-optimized Hf2VGa6 structure.

Total magnetic moment   0.0 μB/f.u.
DFT formation energy   -0.2669 eV per atom
Symmetry   No. 12
D(E_F)   3.69 states/eV/f.u.
Uncorrected energy   -5.51 eV/atom

```
Hf2VGa6
1.0
5.141 -2.701 0.000
5.141 2.701 0.000
-1.011 0.000 5.566
Hf V Ga
2 1 6
Direct
0.137 0.137 0.355 Hf
0.863 0.863 0.645 Hf
0.500 0.500 0.500 V
0.118 0.642 0.164 Ga
0.339 0.339 0.770 Ga
0.358 0.882 0.836 Ga
0.642 0.118 0.164 Ga
0.661 0.661 0.230 Ga
0.882 0.358 0.836 Ga
```



A plane-wave DFT calculation with PBE was carried out for a geometry-optimized HfVGa4 structure.

Total magnetic moment   1.3 μB/f.u.
DFT formation energy   -0.1751 eV per atom
Symmetry   No. 10
D(E_F)   2.38 states/eV/f.u.
Uncorrected energy   -5.37 eV/atom

```
HfVGa4
1.0
4.182 0.000 0.000
0.000 5.765 0.000
-2.084 0.000 4.073
Hf V Ga
1 1 4
Direct
0.000 0.000 0.000 Hf
0.000 0.500 0.000 V
0.337 0.266 0.674 Ga
0.337 0.734 0.674 Ga
0.663 0.266 0.326 Ga
0.663 0.734 0.326 Ga
```



A plane-wave DFT calculation with PBE was carried out for a geometry-optimized HfVGa2 structure.

Total magnetic moment   2.4 μB/f.u.
DFT formation energy   -0.1429 eV per atom
Symmetry   No. 225
D(E_F)   1.87 states/eV/f.u.
Uncorrected energy   -6.42 eV/atom

```
HfVGa2
1.0
0.000 3.225 3.225
3.225 0.000 3.225
3.225 3.225 0.000
Hf V Ga
1 1 2
Direct
0.000 0.000 0.000 Hf
0.500 0.500 0.500 V
0.250 0.250 0.250 Ga
0.750 0.750 0.750 Ga
```



A plane-wave DFT calculation with PBE was carried out for a geometry-optimized HfV2Ga2 structure.

Total magnetic moment   0.0 μB/f.u.
DFT formation energy   -0.2164 eV per atom
Symmetry   No. 127
D(E_F)   4.44 states/eV/f.u.
Uncorrected energy   -7.07 eV/atom

```
HfV2Ga2
1.0
6.985 0.000 0.000
0.000 6.985 0.000
0.000 0.000 3.250
Hf V Ga
2 4 4
Direct
0.000 0.000 0.000 Hf
0.500 0.500 0.000 Hf
0.174 0.326 0.500 V
0.326 0.826 0.500 V
0.674 0.174 0.500 V
0.826 0.674 0.500 V
0.125 0.625 0.000 Ga
0.375 0.125 0.000 Ga
0.625 0.875 0.000 Ga
0.875 0.375 0.000 Ga
```



A plane-wave DFT calculation with PBE was carried out for a geometry-optimized Hf3V2Ga6 structure.

Total magnetic moment   0.0 μB/f.u.
DFT formation energy   -0.4182 eV per atom
Symmetry   No. 59
D(E_F)   6.89 states/eV/f.u.
Uncorrected energy   -6.44 eV/atom

```
Hf3V2Ga6
1.0
5.387 0.000 0.000
0.000 8.839 0.000
0.000 0.000 7.775
Hf V Ga
6 4 12
Direct
0.250 0.029 0.155 Hf
0.250 0.471 0.155 Hf
0.250 0.750 0.716 Hf
0.750 0.250 0.284 Hf
0.750 0.529 0.845 Hf
0.750 0.971 0.845 Hf
0.000 0.000 0.500 V
0.000 0.500 0.500 V
0.500 0.000 0.500 V
0.500 0.500 0.500 V
0.009 0.750 0.037 Ga
0.250 0.061 0.772 Ga
0.250 0.250 0.436 Ga
0.250 0.439 0.772 Ga
0.250 0.750 0.365 Ga
0.491 0.750 0.037 Ga
0.509 0.250 0.963 Ga
0.750 0.250 0.635 Ga
0.750 0.561 0.228 Ga
0.750 0.750 0.564 Ga
0.750 0.939 0.228 Ga
0.991 0.250 0.963 Ga
```



A plane-wave DFT calculation with PBE was carried out for a geometry-optimized HfVGa structure.

Total magnetic moment   0.0 μB/f.u.
DFT formation energy   -0.3291 eV per atom
Symmetry   No. 74
D(E_F)   3.00 states/eV/f.u.
Uncorrected energy   -7.70 eV/atom

```
HfVGa
1.0
-2.508 2.657 3.743
2.508 -2.657 3.743
2.508 2.657 -3.743
Hf V Ga
2 2 2
Direct
0.364 0.114 0.250 Hf
0.636 0.886 0.750 Hf
0.000 0.000 0.500 V
0.000 0.500 0.000 V
0.000 0.500 0.500 Ga
0.500 0.500 0.000 Ga
```



A plane-wave DFT calculation with PBE was carried out for a geometry-optimized Hf3GaW structure.

Total magnetic moment   0.0 μB/f.u.
DFT formation energy   0.9528 eV per atom
Symmetry   No. 221
D(E_F)   9.06 states/eV/f.u.
Uncorrected energy   -8.22 eV/atom

```
Hf3GaW
1.0
5.053 0.000 0.000
0.000 5.053 0.000
0.000 0.000 5.053
Hf Ga W
3 1 1
Direct
0.000 0.000 0.500 Hf
0.000 0.500 0.000 Hf
0.500 0.000 0.000 Hf
0.500 0.500 0.500 Ga
0.000 0.000 0.000 W
```



A plane-wave DFT calculation with PBE was carried out for a geometry-optimized Hf3GaW structure.

Total magnetic moment   0.0 μB/f.u.
DFT formation energy   1.0799 eV per atom
Symmetry   No. 221
D(E_F)   12.29 states/eV/f.u.
Uncorrected energy   -8.09 eV/atom

```
Hf3GaW
1.0
4.849 0.000 0.000
0.000 4.849 0.000
0.000 0.000 4.849
Hf Ga W
3 1 1
Direct
0.000 0.000 0.500 Hf
0.000 0.500 0.000 Hf
0.500 0.000 0.000 Hf
0.000 0.000 0.000 Ga
0.500 0.500 0.500 W
```



A plane-wave DFT calculation with PBE was carried out for a geometry-optimized HfGaW3 structure.

Total magnetic moment   0.0 μB/f.u.
DFT formation energy   2.4961 eV per atom
Symmetry   No. 221
D(E_F)   6.13 states/eV/f.u.
Uncorrected energy   -7.87 eV/atom

```
HfGaW3
1.0
4.806 0.000 0.000
0.000 4.806 0.000
0.000 0.000 4.806
Hf Ga W
1 1 3
Direct
0.000 0.000 0.000 Hf
0.500 0.500 0.500 Ga
0.000 0.000 0.500 W
0.000 0.500 0.000 W
0.500 0.000 0.000 W
```



Look up the total magnetic moment of the fourth one.
0.0 μB/f.u.



What is the D(E_F) in the eleventh record?
12.29 states/eV/f.u.



The lowest D(E_F) belongs to which entry?
number 6